Compound: MgTe2As
Source: the Alexandria database
Functional: PBE-GGA
Structure: relaxed

Cell lengths 5.973, 5.973, 5.970 Å; angles 90.00, 90.00, 90.00 degrees
Fractional positions:
Mg (0.000, 0.000, 0.000)
Mg (0.500, 0.500, 0.500)
Te (0.000, 0.500, 0.000)
Te (0.000, 0.500, 0.500)
Te (0.500, 0.000, 0.000)
Te (0.500, 0.000, 0.500)
As (0.000, 0.000, 0.500)
As (0.500, 0.500, 0.000)

Results
ΔE to the lowest computed polymorph: 59 meV/atom
total DFT energy (no corrections): -3.41 eV/atom
DOS(E_F): 0.443 states/eV/cell
symmetry: I4/mmm (139)
formation energy without anion corrections: -273 meV/atom